Entry from Alexandria via LeMat-Bulk: an optimized crystal structure of TcMo2Pd (PBE).

Calculated values
Space group: Fm-3m, No. 225
Energy of formation (eV per formula unit): 1.18
Calculated density (g/cm³): 10.6
Calculated total energy (eV per atom): -9.0097

Unit cell a=4.4470 b=4.4470 c=4.4470 alpha=60.00 beta=60.00 gamma=60.00
Last column: nearest neighbours and their distance in Å.
Element x y z (fractional)
Tc: 0.0000 0.0000 0.0000  8 Mo 2.72
Mo: 0.7500 0.7500 0.7500  4 Tc 2.72, 4 Pd 2.72
Mo: 0.2500 0.2500 0.2500  4 Tc 2.72, 4 Pd 2.72
Pd: 0.5000 0.5000 0.5000  8 Mo 2.72


Entry from Alexandria via LeMat-Bulk: an optimized crystal structure of NaBiSbTe2 (PBE).

Calculated values
Space group: P4/mmm, No. 123
Raw formation energy (kJ/mol of formula units): 125
Calculated density (g/cm³): 4.7
Calculated total energy (eV per atom): -2.8627

Unit cell a=6.0859 b=6.0859 c=5.8445 alpha=90.00 beta=90.00 gamma=90.00
Last column: nearest neighbours and their distance in Å.
Element x y z (fractional)
Sb: 0.0000 0.0000 0.5000  2 Bi 2.92
Te: 0.5000 0.0000 0.0000  2 Bi 3.04
Te: 0.0000 0.5000 0.0000  2 Bi 3.04
Bi: 0.0000 0.0000 0.0000  2 Sb 2.92, 4 Te 3.04
Na: 0.5000 0.5000 0.5000  8 Te 4.22, 4 Sb 4.30


Entry from Alexandria via LeMat-Bulk: an optimized crystal structure of LaBi12Ir4 (PBE).

Calculated values
Space group: Im-3, No. 204
Energy of formation (eV per formula unit): -2.04
Calculated density (g/cm³): 11.7
Calculated total energy (eV per atom): -5.2344

Unit cell a=8.5672 b=8.5672 c=8.5672 alpha=109.47 beta=109.47 gamma=109.47
Last column: nearest neighbours and their distance in Å.
Element x y z (fractional)
Bi: 0.3340 0.1755 0.8415  2 Ir 2.76
Bi: 0.5074 0.8415 0.6660  2 Ir 2.76
Bi: 0.4926 0.1585 0.3340  2 Ir 2.76
Bi: 0.8415 0.3340 0.1755  2 Ir 2.76
Bi: 0.3340 0.4926 0.1585  2 Ir 2.76
Bi: 0.1585 0.6660 0.8245  2 Ir 2.76
Bi: 0.6660 0.5074 0.8415  2 Ir 2.76
Bi: 0.6660 0.8245 0.1585  2 Ir 2.76
Bi: 0.8245 0.1585 0.6660  2 Ir 2.76
Bi: 0.1585 0.3340 0.4926  2 Ir 2.76
Bi: 0.1755 0.8415 0.3340  2 Ir 2.76
Bi: 0.8415 0.6660 0.5074  2 Ir 2.76
Ir: 0.5000 0.5000 0.5000  6 Bi 2.76
Ir: 0.0000 0.5000 0.0000  6 Bi 2.76
Ir: 0.0000 0.0000 0.5000  6 Bi 2.76
Ir: 0.5000 0.0000 0.0000  6 Bi 2.76
La: 0.0000 0.0000 0.0000  12 Bi 3.66


Entry from Alexandria via LeMat-Bulk: an optimized crystal structure of TbTmHg (PBE).

Calculated values
Space group: I4mm, No. 107
Energy of formation (eV per formula unit): -0.90
Calculated density (g/cm³): 10.6
Calculated total energy (eV per atom): -3.4348

Unit cell a=3.5914 b=3.5914 c=6.8971 alpha=105.09 beta=105.09 gamma=90.00
Last column: nearest neighbours and their distance in Å.
Element x y z (fractional)
Tm: 0.3190 0.3190 0.6379  4 Hg 3.17, 4 Tb 3.53
Hg: 0.6704 0.6704 0.3408  4 Tm 3.17, 4 Tb 3.26
Tb: 0.0106 0.0106 0.0213  4 Hg 3.26, 4 Tm 3.53, 4 Tb 3.59


Entry from Alexandria via LeMat-Bulk: an optimized crystal structure of NpMnP2Os (PBE).

Calculated values
Space group: I-4m2, No. 119
Energy of formation (eV per formula unit): -2.78
Calculated density (g/cm³): 11.9
Calculated total energy (eV per atom): -9.3877

Unit cell a=3.9814 b=3.9814 c=5.5654 alpha=110.96 beta=110.96 gamma=90.00
Last column: nearest neighbours and their distance in Å.
Element x y z (fractional)
Os: 0.7500 0.2500 0.5000  4 P 2.31
P: 0.3730 0.3730 0.7460  2 Mn 2.31, 2 Os 2.31, 1 P 2.44
P: 0.6270 0.6270 0.2540  2 Os 2.31, 2 Mn 2.31, 1 P 2.44
Np: 0.0000 0.0000 0.0000  8 P 3.07, 4 Mn 3.12, 4 Os 3.12
Mn: 0.2500 0.7500 0.5000  4 P 2.31


Entry from Alexandria via LeMat-Bulk: an optimized crystal structure of HoIrRu (PBE).

Calculated values
Space group: Imma, No. 74
Energy of formation (eV per formula unit): -1.76
Calculated density (g/cm³): 14.2
Calculated total energy (eV per atom): -8.1580

Unit cell a=5.1891 b=5.3574 c=5.3574 alpha=60.61 beta=61.03 gamma=61.03
Last column: nearest neighbours and their distance in Å.
Element x y z (fractional)
Ir: 0.5000 0.0000 0.5000  4 Ru 2.68, 2 Ir 2.70
Ir: 0.5000 0.5000 0.0000  4 Ru 2.68, 2 Ir 2.70
Ru: 0.0000 0.0000 0.0000  2 Ru 2.59, 4 Ir 2.68
Ru: 0.5000 0.0000 0.0000  2 Ru 2.59, 4 Ir 2.68
Ho: 0.8774 0.3726 0.3726  6 Ir 3.07-3.19, 6 Ru 3.13-3.15, 4 Ho 3.25-3.29
Ho: 0.1226 0.6274 0.6274  6 Ir 3.07-3.19, 6 Ru 3.13-3.15, 4 Ho 3.25-3.29


Entry from Alexandria via LeMat-Bulk: an optimized crystal structure of DyPuAl4 (PBE).

Calculated values
Space group: F-43m, No. 216
Energy of formation (eV per formula unit): -2.37
Calculated density (g/cm³): 7.1
Calculated total energy (eV per atom): -6.0450

Unit cell a=5.5495 b=5.5495 c=5.5495 alpha=60.00 beta=60.00 gamma=60.00
Last column: nearest neighbours and their distance in Å.
Element x y z (fractional)
Al: 0.6245 0.6245 0.6245  6 Al 2.76-2.79
Al: 0.6245 0.6245 0.1265  6 Al 2.76-2.79
Al: 0.6245 0.1265 0.6245  6 Al 2.76-2.79
Al: 0.1265 0.6245 0.6245  6 Al 2.76-2.79
Dy: 0.0000 0.0000 0.0000  12 Al 3.25, 4 Pu 3.40
Pu: 0.2500 0.2500 0.2500  12 Al 3.25, 4 Dy 3.40


Entry from Alexandria via LeMat-Bulk: an optimized crystal structure of Y2TaOs (PBE).

Calculated values
Space group: Immm, No. 71
Energy of formation (eV per formula unit): 0.81
Calculated density (g/cm³): 10.6
Calculated total energy (eV per atom): -8.7996

Unit cell a=6.0297 b=6.0297 c=4.7619 alpha=66.77 beta=66.77 gamma=33.09
Last column: nearest neighbours and their distance in Å.
Element x y z (fractional)
Y: 0.5374 0.5374 0.4626  2 Os 2.82, 4 Y 3.04
Y: 0.9626 0.9626 0.0374  2 Os 2.82, 4 Y 3.04
Ta: 0.7500 0.7500 0.7500  4 Os 2.94, 4 Y 3.27
Os: 0.2500 0.2500 0.2500  4 Y 2.82, 4 Ta 2.94


Entry from Alexandria via LeMat-Bulk: an optimized crystal structure of Dy5NbGe4 (PBE).

Calculated values
Space group: C2/m, No. 12
Energy of formation (eV per formula unit): -4.79
Calculated density (g/cm³): 7.7
Calculated total energy (eV per atom): -5.6340

Unit cell a=3.9608 b=7.7603 c=8.9623 alpha=105.17 beta=102.77 gamma=90.00
Last column: nearest neighbours and their distance in Å.
Element x y z (fractional)
Dy: 0.1705 0.8307 0.3410  4 Ge 2.86-2.88
Dy: 0.8319 0.6437 0.6639  3 Ge 2.84-2.85
Dy: 0.5000 0.5000 0.0000  4 Ge 2.87
Dy: 0.8295 0.1693 0.6590  4 Ge 2.86-2.88
Dy: 0.1681 0.3563 0.3361  3 Ge 2.84-2.85
Ge: 0.9992 0.2319 0.9984  2 Nb 2.68, 4 Dy 2.85-2.88
Ge: 0.6602 0.0901 0.3205  1 Nb 2.70, 5 Dy 2.84-2.86
Ge: 0.0008 0.7681 0.0016  2 Nb 2.68, 4 Dy 2.85-2.88
Ge: 0.3398 0.9099 0.6795  1 Nb 2.70, 5 Dy 2.84-2.86
Nb: 0.5000 0.0000 0.0000  6 Ge 2.68-2.70


Entry from Alexandria via LeMat-Bulk: an optimized crystal structure of LiIr2Br (PBE).

Calculated values
Space group: C2/m, No. 12
Raw formation energy (kJ/mol of formula units): 58
Calculated density (g/cm³): 11.2
Calculated total energy (eV per atom): -5.1781

Unit cell a=6.2227 b=6.2227 c=3.9267 alpha=87.84 beta=87.84 gamma=27.38
Last column: nearest neighbours and their distance in Å.
Element x y z (fractional)
Ir: 0.9654 0.9654 0.9978  4 Ir 2.55-2.63, 1 Br 2.75
Ir: 0.5346 0.5346 0.5022  4 Ir 2.55-2.63, 1 Br 2.75
Br: 0.7500 0.7500 0.2500  4 Li 2.45
Li: 0.2500 0.2500 0.7500  4 Br 2.45


Entry from Alexandria via LeMat-Bulk: an optimized crystal structure of CrInRu2 (PBE).

Calculated values
Space group: P4mm, No. 99
Energy of formation (eV per formula unit): 0.98
Calculated density (g/cm³): 9.7
Calculated total energy (eV per atom): -7.4846

Unit cell a=2.8479 b=2.8479 c=7.8000 alpha=90.00 beta=90.00 gamma=90.00
Last column: nearest neighbours and their distance in Å.
Element x y z (fractional)
Ru: 0.5000 0.5000 0.2428  8 Ru 2.63-2.85, 4 Cr 2.70
Ru: 0.0000 0.0000 0.0262  8 Ru 2.63-2.85, 4 In 2.90
In: 0.5000 0.5000 0.7581  4 In 2.85, 4 Ru 2.90, 4 Cr 3.00
Cr: 0.0000 0.0000 0.4728  4 Ru 2.70, 4 Cr 2.85, 4 In 3.00


Entry from Alexandria via LeMat-Bulk: an optimized crystal structure of LaMgSi3 (PBE).

Calculated values
Space group: Cmcm, No. 63
Raw formation energy (kJ/mol of formula units): -188
Calculated density (g/cm³): 4.0
Calculated total energy (eV per atom): -4.9472

Unit cell a=4.0215 b=4.3227 c=12.0799 alpha=100.31 beta=90.00 gamma=90.00
Last column: nearest neighbours and their distance in Å.
Element x y z (fractional)
Si: 0.2500 0.4743 0.9485  3 Si 2.35-2.42
Si: 0.7500 0.6274 0.2549  3 Si 2.41-2.42
Si: 0.2500 0.3726 0.7451  3 Si 2.41-2.42
Si: 0.7500 0.3168 0.6335  2 Si 2.41, 1 Mg 2.68
Si: 0.7500 0.5257 0.0515  3 Si 2.35-2.42
Si: 0.2500 0.6832 0.3665  2 Si 2.41, 1 Mg 2.68
La: 0.7500 0.9234 0.8467  12 Si 3.19-3.33
La: 0.2500 0.0766 0.1533  12 Si 3.19-3.33
Mg: 0.2500 0.7958 0.5915  7 Si 2.68-2.99
Mg: 0.7500 0.2042 0.4085  7 Si 2.68-2.99